[1]
Crystalline TbDyTm3Th at its relaxed geometry, computed with PBE.

Cell and atoms, written as POSCAR:
```
TbDyTm3Th
1.0
2.890 -5.582 0.000
2.890 5.582 0.000
0.000 0.000 11.583
Tb Dy Tm Th
2 2 6 2
Direct
0.000 0.000 0.000
0.000 0.000 0.500
0.180 0.820 0.750
0.820 0.180 0.250
0.173 0.827 0.250
0.332 0.668 0.001
0.332 0.668 0.499
0.668 0.332 0.501
0.668 0.332 0.999
0.827 0.173 0.750
0.499 0.501 0.250
0.501 0.499 0.750
```

Computed properties:
- Total magnetization: 0.00 μB/cell
- Formation enthalpy at 0 K: 12.3 kJ per mole of atoms
- Symmetry: Cmcm (63)

---

[2]
Crystalline Pm2SmY2Mg at its relaxed geometry, computed with PBE.

Cell and atoms, written as POSCAR:
```
Pm2SmY2Mg
1.0
10.484 0.000 0.000
0.000 11.915 0.000
0.000 0.000 3.618
Pm Sm Y Mg
4 2 4 2
Direct
0.087 0.227 0.000
0.413 0.727 0.500
0.587 0.273 0.500
0.913 0.773 0.000
0.000 0.000 0.500
0.500 0.500 0.000
0.244 0.433 0.500
0.256 0.933 0.000
0.744 0.067 0.000
0.756 0.567 0.500
0.000 0.500 0.000
0.500 0.000 0.500
```

Computed properties:
- Total magnetization: 0.00 μB/cell
- Formation enthalpy at 0 K: 43.6 kJ per mole of atoms
- Symmetry: Pnnm (58)

---

[3]
Crystalline NaSrCeTl at its relaxed geometry, computed with PBE.

Cell and atoms, written as POSCAR:
```
NaSrCeTl
1.0
0.000 4.058 4.058
4.058 0.000 4.058
4.058 4.058 0.000
Na Sr Ce Tl
1 1 1 1
Direct
0.000 0.000 0.000
0.750 0.750 0.750
0.250 0.250 0.250
0.500 0.500 0.500
```

Computed properties:
- Total magnetization: 1.12 μB/cell
- Formation enthalpy at 0 K: 0.5 kJ per mole of atoms
- Symmetry: F-43m (216)

---

[4]
Crystalline FeSiTe at its relaxed geometry, computed with PBE.

Cell and atoms, written as POSCAR:
```
FeSiTe
1.0
0.000 2.936 2.936
2.936 0.000 2.936
2.936 2.936 0.000
Fe Si Te
1 1 1
Direct
0.000 0.000 0.000
0.750 0.750 0.750
0.250 0.250 0.250
```

Computed properties:
- Total magnetization: 0.00 μB/cell
- Symmetry: F-43m (216)
- Energy above the most stable polymorph in this dataset: 0.0 meV per atom